The following is a DFT calculation (PBE+U) of V2GaO4 after structural relaxation.

abc: 8.4500 8.4488 6.0565
angles: 90.00 133.93 90.00
Last column: nearest neighbours and their distance in Å.
Space group C2/c (No. 15)
One atom of each set of equivalent atoms:
V: 0.0000 0.0000 0.0000 (multiplicity 4)  6 O 2.11-2.13
V: 0.2500 0.2500 0.0000 (multiplicity 4)  6 O 2.08-2.13
Ga: 0.0000 0.3769 0.2500 (multiplicity 4)  4 O 1.89-1.90
O: 0.0027 0.2499 0.5119 (multiplicity 8)  1 Ga 1.90, 3 V 2.09-2.13
O: 0.2440 0.0041 0.9894 (multiplicity 8)  1 Ga 1.89, 2 V 2.08-2.11

Summary:
Fermi-level density of states ... 0.18 states/eV per atom
Uncorrected energy ... -7.3132 eV per atom